1.
# Pm6PrY3Tm2 | Alexandria | PBE | optimized geometry
data_Pm6PrY3Tm2
_chemical_formula_sum 'Pm12 Pr2 Y6 Tm4'
_space_group_name_H-M_alt 'C 1 2/m 1'
_space_group_IT_number 12
_space_group_name_Hall '-C 2y'
_cell_length_a 6.262
_cell_length_b 10.844
_cell_length_c 11.905
_cell_angle_alpha 90.00
_cell_angle_beta 100.07
_cell_angle_gamma 90.00
loop_
_atom_site_label
_atom_site_type_symbol
_atom_site_fract_x
_atom_site_fract_y
_atom_site_fract_z
Pm1 Pm 0.249 0.000 0.250
Pm2 Pm 0.249 0.167 0.750
Pr1 Pr 0.000 0.500 0.000
Y1 Y 0.000 0.000 0.500
Y2 Y 0.000 0.333 0.500
Tm1 Tm 0.000 0.167 0.000
# Energy relative to the elements ... 0.014 eV/atom
# Final energy ... -5.12 eV per atom

2.
# PmPrY5Tm2 | Alexandria | PBE | optimized geometry
data_PmPrY5Tm2
_chemical_formula_sum 'Pm4 Pr4 Y20 Tm8'
_space_group_name_H-M_alt 'C m c 21'
_space_group_IT_number 36
_space_group_name_Hall 'C 2c -2'
_cell_length_a 5.652
_cell_length_b 20.119
_cell_length_c 10.533
_cell_angle_alpha 90.00
_cell_angle_beta 90.00
_cell_angle_gamma 90.00
loop_
_atom_site_label
_atom_site_type_symbol
_atom_site_fract_x
_atom_site_fract_y
_atom_site_fract_z
Pm1 Pm 0.000 0.085 0.000
Pr1 Pr 0.000 0.302 0.570
Y1 Y 0.000 0.023 0.290
Y2 Y 0.000 0.110 0.580
Y3 Y 0.000 0.200 0.261
Y4 Y 0.000 0.221 0.871
Y5 Y 0.000 0.484 0.579
Tm1 Tm 0.000 0.387 0.875
Tm2 Tm 0.000 0.389 0.289
# Energy relative to the elements ... 0.160 eV/atom
# Final energy ... -5.48 eV per atom

3.
# Pm2Pr2YTm2 | Alexandria | PBE | optimized geometry
data_Pm2Pr2YTm2
_chemical_formula_sum 'Pm4 Pr4 Y2 Tm4'
_space_group_name_H-M_alt 'C 1 2/m 1'
_space_group_IT_number 12
_space_group_name_Hall '-C 2y'
_cell_length_a 11.416
_cell_length_b 5.111
_cell_length_c 8.085
_cell_angle_alpha 90.00
_cell_angle_beta 98.31
_cell_angle_gamma 90.00
loop_
_atom_site_label
_atom_site_type_symbol
_atom_site_fract_x
_atom_site_fract_y
_atom_site_fract_z
Pm1 Pm 0.144 0.000 0.429
Pr1 Pr 0.072 0.500 0.719
Y1 Y 0.000 0.000 0.000
Tm1 Tm 0.215 0.500 0.141
# Energy relative to the elements ... 0.021 eV/atom
# Final energy ... -4.90 eV per atom

4.
# PmPrTmZn | Alexandria | PBE | optimized geometry
data_PmPrTmZn
_chemical_formula_sum 'Pm1 Pr1 Tm1 Zn1'
_space_group_name_H-M_alt 'P 4 m m'
_space_group_IT_number 99
_space_group_name_Hall 'P 4 -2'
_cell_length_a 3.616
_cell_length_b 3.616
_cell_length_c 8.779
_cell_angle_alpha 90.00
_cell_angle_beta 90.00
_cell_angle_gamma 90.00
loop_
_atom_site_label
_atom_site_type_symbol
_atom_site_fract_x
_atom_site_fract_y
_atom_site_fract_z
Pm1 Pm 0.000 0.000 0.000
Pr1 Pr 0.500 0.500 0.306
Tm1 Tm 0.000 0.000 0.596
Zn1 Zn 0.500 0.500 0.781
# Energy above the lowest structure with this stoichiometry ... 0.000 eV/atom
# Energy relative to the elements ... -0.156 eV/atom
# Final energy ... -3.98 eV per atom

5.
# PmPrTmZn | Alexandria | PBE | optimized geometry
data_PmPrTmZn
_chemical_formula_sum 'Pm4 Pr4 Tm4 Zn4'
_space_group_name_H-M_alt 'F -4 3 m'
_space_group_IT_number 216
_space_group_name_Hall 'F -4 2 3'
_cell_length_a 7.679
_cell_length_b 7.679
_cell_length_c 7.679
_cell_angle_alpha 90.00
_cell_angle_beta 90.00
_cell_angle_gamma 90.00
loop_
_atom_site_label
_atom_site_type_symbol
_atom_site_fract_x
_atom_site_fract_y
_atom_site_fract_z
Pm1 Pm 0.000 0.000 0.000
Pr1 Pr 0.000 0.000 0.500
Tm1 Tm 0.250 0.250 0.250
Zn1 Zn 0.250 0.250 0.750
# Energy above the lowest structure with this stoichiometry ... 0.169 eV/atom
# Energy relative to the elements ... 0.013 eV/atom
# Final energy ... -3.81 eV per atom

6.
# PmPrTmZr | Alexandria | PBE | optimized geometry
data_PmPrTmZr
_chemical_formula_sum 'Pm4 Pr4 Tm4 Zr4'
_space_group_name_H-M_alt 'F -4 3 m'
_space_group_IT_number 216
_space_group_name_Hall 'F -4 2 3'
_cell_length_a 7.869
_cell_length_b 7.869
_cell_length_c 7.869
_cell_angle_alpha 90.00
_cell_angle_beta 90.00
_cell_angle_gamma 90.00
loop_
_atom_site_label
_atom_site_type_symbol
_atom_site_fract_x
_atom_site_fract_y
_atom_site_fract_z
Pm1 Pm 0.000 0.000 0.000
Pr1 Pr 0.250 0.250 0.250
Tm1 Tm 0.000 0.000 0.500
Zr1 Zr 0.250 0.250 0.750
# Energy relative to the elements ... 0.247 eV/atom
# Final energy ... -5.39 eV per atom

7.
# Pm2PrU | Alexandria | PBE | optimized geometry
data_Pm2PrU
_chemical_formula_sum 'Pm6 Pr3 U3'
_space_group_name_H-M_alt 'R -3 m'
_space_group_IT_number 166
_space_group_name_Hall '-R 3 2"'
_cell_length_a 3.3816
_cell_length_b 3.3816
_cell_length_c 37.8504
_cell_angle_alpha 90.00
_cell_angle_beta 90.00
_cell_angle_gamma 120.00
loop_
_atom_site_label
_atom_site_type_symbol
_atom_site_fract_x
_atom_site_fract_y
_atom_site_fract_z
Pm1 Pm 0.0000 0.0000 0.0854
Pr1 Pr 0.0000 0.0000 0.5000
U1 U 0.0000 0.0000 0.0000
# Energy relative to the elements ... 0.507 eV/atom
# Final energy ... -5.89 eV per atom

8.
# Pm2PrV | Alexandria | PBE | optimized geometry
data_Pm2PrV
_chemical_formula_sum 'Pm6 Pr3 V3'
_space_group_name_H-M_alt 'R -3 m'
_space_group_IT_number 166
_space_group_name_Hall '-R 3 2"'
_cell_length_a 3.4557
_cell_length_b 3.4557
_cell_length_c 35.3636
_cell_angle_alpha 90.00
_cell_angle_beta 90.00
_cell_angle_gamma 120.00
loop_
_atom_site_label
_atom_site_type_symbol
_atom_site_fract_x
_atom_site_fract_y
_atom_site_fract_z
Pm1 Pm 0.0000 0.0000 0.0798
Pr1 Pr 0.0000 0.0000 0.5000
V1 V 0.0000 0.0000 0.0000
# Energy relative to the elements ... 0.636 eV/atom
# Final energy ... -5.21 eV per atom

9.
# PmPr2V | Alexandria | PBE | optimized geometry
data_PmPr2V
_chemical_formula_sum 'Pm3 Pr6 V3'
_space_group_name_H-M_alt 'R -3 m'
_space_group_IT_number 166
_space_group_name_Hall '-R 3 2"'
_cell_length_a 3.4767
_cell_length_b 3.4767
_cell_length_c 35.5792
_cell_angle_alpha 90.00
_cell_angle_beta 90.00
_cell_angle_gamma 120.00
loop_
_atom_site_label
_atom_site_type_symbol
_atom_site_fract_x
_atom_site_fract_y
_atom_site_fract_z
Pm1 Pm 0.0000 0.0000 0.0000
Pr1 Pr 0.0000 0.0000 0.4197
V1 V 0.0000 0.0000 0.5000
# Energy relative to the elements ... 0.643 eV/atom
# Final energy ... -5.21 eV per atom

10.
# Pm5Pr4Y2 | Alexandria | PBE | optimized geometry
data_Pm5Pr4Y2
_chemical_formula_sum 'Pm10 Pr8 Y4'
_space_group_name_H-M_alt 'C 1 2/m 1'
_space_group_IT_number 12
_space_group_name_Hall '-C 2y'
_cell_length_a 11.342
_cell_length_b 7.513
_cell_length_c 9.388
_cell_angle_alpha 90.00
_cell_angle_beta 105.72
_cell_angle_gamma 90.00
loop_
_atom_site_label
_atom_site_type_symbol
_atom_site_fract_x
_atom_site_fract_y
_atom_site_fract_z
Pm1 Pm 0.000 0.000 0.000
Pm2 Pm 0.071 0.280 0.271
Pr1 Pr 0.169 0.500 0.619
Pr2 Pr 0.193 0.500 0.997
Y1 Y 0.141 0.000 0.624
# Energy above the lowest structure with this stoichiometry ... 0.011 eV/atom
# Energy relative to the elements ... 0.106 eV/atom
# Final energy ... -4.97 eV per atom

11.
# Pm5Pr5Y2 | Alexandria | PBE | optimized geometry
data_Pm5Pr5Y2
_chemical_formula_sum 'Pm10 Pr10 Y4'
_space_group_name_H-M_alt 'C 1 2/m 1'
_space_group_IT_number 12
_space_group_name_Hall '-C 2y'
_cell_length_a 15.573
_cell_length_b 5.180
_cell_length_c 11.598
_cell_angle_alpha 90.00
_cell_angle_beta 116.55
_cell_angle_gamma 90.00
loop_
_atom_site_label
_atom_site_type_symbol
_atom_site_fract_x
_atom_site_fract_y
_atom_site_fract_z
Pm1 Pm 0.000 0.000 0.000
Pm2 Pm 0.082 0.000 0.749
Pm3 Pm 0.167 0.000 0.500
Pr1 Pr 0.000 0.500 0.500
Pr2 Pr 0.165 0.500 0.999
Pr3 Pr 0.249 0.000 0.250
Y1 Y 0.084 0.500 0.251
# Energy relative to the elements ... 0.014 eV/atom
# Final energy ... -5.03 eV per atom